Entry 1:
# CsTl4Br12

A geometry-optimized CsTl4Br12 structure (PBE, the Alexandria database).

## Properties
**Crystal system**: cubic
**SG**: Im-3
**Density of states at the Fermi level**: 0.22 states/eV per atom

Cell and atoms, written as CIF:
```
data_CsTl4Br12
_symmetry_space_group_name_H-M 'P 1'
_symmetry_Int_Tables_number 1
_cell_length_a 9.3492
_cell_length_b 9.3492
_cell_length_c 9.3492
_cell_angle_alpha 109.47
_cell_angle_beta 109.47
_cell_angle_gamma 109.47
loop_
_symmetry_equiv_pos_as_xyz
'x,y,z'
loop_
_atom_site_label
_atom_site_fract_x
_atom_site_fract_y
_atom_site_fract_z
_atom_site_occupancy
Cs1 0.0000 0.0000 0.0000 1
Tl1 0.0000 0.0000 0.5000 1
Tl2 0.0000 0.5000 0.0000 1
Tl3 0.5000 0.0000 0.0000 1
Tl4 0.5000 0.5000 0.5000 1
Br1 0.1218 0.3054 0.8164 1
Br2 0.1836 0.4890 0.3054 1
Br3 0.1836 0.8782 0.6946 1
Br4 0.3054 0.1836 0.4890 1
Br5 0.3054 0.8164 0.1218 1
Br6 0.4890 0.3054 0.1836 1
Br7 0.5110 0.6946 0.8164 1
Br8 0.6946 0.1836 0.8782 1
Br9 0.6946 0.8164 0.5110 1
Br10 0.8164 0.1218 0.3054 1
Br11 0.8164 0.5110 0.6946 1
Br12 0.8782 0.6946 0.1836 1
```

***

Entry 2:
# Cs2Tl2Br

A geometry-optimized Cs2Tl2Br structure (PBE, the Alexandria database).

## Properties
**Crystal system**: tetragonal
**Energy above the most stable polymorph in this dataset**: 297 meV per atom
**SG**: P4/mbm
**Density of states at the Fermi level**: 1.02 states/eV per atom

Cell and atoms, written as CIF:
```
data_Cs2Tl2Br
_symmetry_space_group_name_H-M 'P 1'
_symmetry_Int_Tables_number 1
_cell_length_a 9.4732
_cell_length_b 9.4732
_cell_length_c 6.6227
_cell_angle_alpha 90.00
_cell_angle_beta 90.00
_cell_angle_gamma 90.00
loop_
_symmetry_equiv_pos_as_xyz
'x,y,z'
loop_
_atom_site_label
_atom_site_fract_x
_atom_site_fract_y
_atom_site_fract_z
_atom_site_occupancy
Cs1 0.1877 0.3123 0.0000 1
Cs2 0.3123 0.8123 0.0000 1
Cs3 0.6877 0.1877 0.0000 1
Cs4 0.8123 0.6877 0.0000 1
Tl1 0.1140 0.6140 0.5000 1
Tl2 0.3860 0.1140 0.5000 1
Tl3 0.6140 0.8860 0.5000 1
Tl4 0.8860 0.3860 0.5000 1
Br1 0.0000 0.0000 0.0000 1
Br2 0.5000 0.5000 0.0000 1
```

***

Entry 3:
# CsTl4Br5

A geometry-optimized CsTl4Br5 structure (PBE, the Alexandria database).

## Properties
**Crystal system**: orthorhombic
**SG**: Immm
**Density of states at the Fermi level**: 0.00 states/eV per atom

Cell and atoms, written as CIF:
```
data_CsTl4Br5
_symmetry_space_group_name_H-M 'P 1'
_symmetry_Int_Tables_number 1
_cell_length_a 12.8658
_cell_length_b 12.8658
_cell_length_c 12.8658
_cell_angle_alpha 158.27
_cell_angle_beta 148.88
_cell_angle_gamma 38.28
loop_
_symmetry_equiv_pos_as_xyz
'x,y,z'
loop_
_atom_site_label
_atom_site_fract_x
_atom_site_fract_y
_atom_site_fract_z
_atom_site_occupancy
Cs1 0.0000 0.0000 0.0000 1
Tl1 0.2042 0.2042 0.0000 1
Tl2 0.3978 0.3978 0.0000 1
Tl3 0.6022 0.6022 0.0000 1
Tl4 0.7958 0.7958 0.0000 1
Br1 0.1104 0.6104 0.5000 1
Br2 0.3036 0.8036 0.5000 1
Br3 0.5000 0.0000 0.5000 1
Br4 0.6964 0.1964 0.5000 1
Br5 0.8896 0.3896 0.5000 1
```

***

Entry 4:
# Cs2Tl3Br10

A geometry-optimized Cs2Tl3Br10 structure (PBE, the Alexandria database).

## Properties
**Crystal system**: monoclinic
**SG**: C2/m
**Density of states at the Fermi level**: 0.13 states/eV per atom

Cell and atoms, written as CIF:
```
data_Cs2Tl3Br10
_symmetry_space_group_name_H-M 'P 1'
_symmetry_Int_Tables_number 1
_cell_length_a 13.9261
_cell_length_b 13.9261
_cell_length_c 11.4372
_cell_angle_alpha 109.17
_cell_angle_beta 109.17
_cell_angle_gamma 34.37
loop_
_symmetry_equiv_pos_as_xyz
'x,y,z'
loop_
_atom_site_label
_atom_site_fract_x
_atom_site_fract_y
_atom_site_fract_z
_atom_site_occupancy
Cs1 0.1255 0.1255 0.2448 1
Cs2 0.2361 0.2361 0.8230 1
Cs3 0.7639 0.7639 0.1770 1
Cs4 0.8745 0.8745 0.7552 1
Tl1 0.2458 0.7542 0.5000 1
Tl2 0.3146 0.3146 0.4424 1
Tl3 0.4170 0.4170 0.9928 1
Tl4 0.5830 0.5830 0.0072 1
Tl5 0.6854 0.6854 0.5576 1
Tl6 0.7542 0.2458 0.5000 1
Br1 0.0000 0.5000 0.5000 1
Br2 0.0136 0.0136 0.6846 1
Br3 0.1106 0.6141 0.0368 1
Br4 0.1254 0.6549 0.4556 1
Br5 0.2571 0.2571 0.1880 1
Br6 0.2749 0.7251 0.0000 1
Br7 0.3451 0.8746 0.5444 1
Br8 0.3677 0.3677 0.7418 1
Br9 0.3859 0.8894 0.9632 1
Br10 0.4860 0.4860 0.3225 1
Br11 0.5000 0.0000 0.5000 1
Br12 0.5140 0.5140 0.6775 1
Br13 0.6141 0.1106 0.0368 1
Br14 0.6323 0.6323 0.2582 1
Br15 0.6549 0.1254 0.4556 1
Br16 0.7251 0.2749 0.0000 1
Br17 0.7429 0.7429 0.8120 1
Br18 0.8746 0.3451 0.5444 1
Br19 0.8894 0.3859 0.9632 1
Br20 0.9864 0.9864 0.3154 1
```

***

Entry 5:
# Cs3TlBr8

A geometry-optimized Cs3TlBr8 structure (PBE, the Alexandria database).

## Properties
**Crystal system**: tetragonal
**SG**: I4/mmm
**Density of states at the Fermi level**: 1.47 states/eV per atom

Cell and atoms, written as CIF:
```
data_Cs3TlBr8
_symmetry_space_group_name_H-M 'P 1'
_symmetry_Int_Tables_number 1
_cell_length_a 9.9926
_cell_length_b 9.9926
_cell_length_c 9.9926
_cell_angle_alpha 131.63
_cell_angle_beta 131.63
_cell_angle_gamma 70.81
loop_
_symmetry_equiv_pos_as_xyz
'x,y,z'
loop_
_atom_site_label
_atom_site_fract_x
_atom_site_fract_y
_atom_site_fract_z
_atom_site_occupancy
Cs1 0.0000 0.0000 0.0000 1
Cs2 0.2500 0.7500 0.5000 1
Cs3 0.7500 0.2500 0.5000 1
Tl1 0.5000 0.5000 0.0000 1
Br1 0.1800 0.1800 0.5754 1
Br2 0.1800 0.6046 0.0000 1
Br3 0.3954 0.3954 0.5754 1
Br4 0.3954 0.8200 0.0000 1
Br5 0.6046 0.1800 0.0000 1
Br6 0.6046 0.6046 0.4246 1
Br7 0.8200 0.3954 0.0000 1
Br8 0.8200 0.8200 0.4246 1
```

***

Entry 6:
# CsTl2Br

A geometry-optimized CsTl2Br structure (PBE, the Alexandria database).

## Properties
**Crystal system**: tetragonal
**Energy above the most stable polymorph in this dataset**: 0 meV per atom
**SG**: I-42d
**Density of states at the Fermi level**: 0.55 states/eV per atom

Cell and atoms, written as CIF:
```
data_CsTl2Br
_symmetry_space_group_name_H-M 'P 1'
_symmetry_Int_Tables_number 1
_cell_length_a 14.9523
_cell_length_b 14.9523
_cell_length_c 14.9523
_cell_angle_alpha 161.29
_cell_angle_beta 161.29
_cell_angle_gamma 26.58
loop_
_symmetry_equiv_pos_as_xyz
'x,y,z'
loop_
_atom_site_label
_atom_site_fract_x
_atom_site_fract_y
_atom_site_fract_z
_atom_site_occupancy
Cs1 0.0000 0.0000 0.0000 1
Cs2 0.7500 0.2500 0.5000 1
Tl1 0.1383 0.6250 0.0133 1
Tl2 0.3750 0.3883 0.5133 1
Tl3 0.6117 0.1250 0.9867 1
Tl4 0.8750 0.8617 0.4867 1
Br1 0.2500 0.7500 0.5000 1
Br2 0.5000 0.5000 0.0000 1
```

***

Entry 7:
# Cs2TmTl2Br6

A geometry-optimized Cs2TmTl2Br6 structure (PBE, the Alexandria database).

## Properties
**Crystal system**: monoclinic
**SG**: C2/m
**Density of states at the Fermi level**: 0.33 states/eV per atom

Cell and atoms, written as CIF:
```
data_Cs2TmTl2Br6
_symmetry_space_group_name_H-M 'P 1'
_symmetry_Int_Tables_number 1
_cell_length_a 8.8789
_cell_length_b 8.8789
_cell_length_c 7.7177
_cell_angle_alpha 101.44
_cell_angle_beta 101.44
_cell_angle_gamma 120.67
loop_
_symmetry_equiv_pos_as_xyz
'x,y,z'
loop_
_atom_site_label
_atom_site_fract_x
_atom_site_fract_y
_atom_site_fract_z
_atom_site_occupancy
Cs1 0.1673 0.8327 0.0000 1
Cs2 0.8327 0.1673 0.0000 1
Tm1 0.5000 0.5000 0.0000 1
Tl1 0.3281 0.6719 0.5000 1
Tl2 0.6719 0.3281 0.5000 1
Br1 0.1626 0.4188 0.7725 1
Br2 0.3221 0.3221 0.2316 1
Br3 0.4188 0.1626 0.7725 1
Br4 0.5812 0.8374 0.2275 1
Br5 0.6779 0.6779 0.7684 1
Br6 0.8374 0.5812 0.2275 1
```

***

Entry 8:
# CsU2TlBr8

A geometry-optimized CsU2TlBr8 structure (PBE, the Alexandria database).

## Properties
**Crystal system**: trigonal
**SG**: P-3
**Density of states at the Fermi level**: 0.22 states/eV per atom

Cell and atoms, written as CIF:
```
data_CsU2TlBr8
_symmetry_space_group_name_H-M 'P 1'
_symmetry_Int_Tables_number 1
_cell_length_a 8.0293
_cell_length_b 8.0293
_cell_length_c 8.8383
_cell_angle_alpha 90.00
_cell_angle_beta 90.00
_cell_angle_gamma 120.00
loop_
_symmetry_equiv_pos_as_xyz
'x,y,z'
loop_
_atom_site_label
_atom_site_fract_x
_atom_site_fract_y
_atom_site_fract_z
_atom_site_occupancy
Cs1 0.0000 0.0000 0.0000 1
U1 0.3333 0.6667 0.4164 1
U2 0.6667 0.3333 0.5836 1
Tl1 0.0000 0.0000 0.5000 1
Br1 0.0579 0.3903 0.6549 1
Br2 0.3324 0.9421 0.6549 1
Br3 0.3333 0.6667 0.0979 1
Br4 0.3903 0.3324 0.3451 1
Br5 0.6097 0.6676 0.6549 1
Br6 0.6667 0.3333 0.9021 1
Br7 0.6676 0.0579 0.3451 1
Br8 0.9421 0.6097 0.3451 1
```

***

Entry 9:
# Cs3TlV2Br9

A geometry-optimized Cs3TlV2Br9 structure (PBE, the Alexandria database).

## Properties
**Crystal system**: trigonal
**SG**: P-3m1
**Density of states at the Fermi level**: 0.98 states/eV per atom

Cell and atoms, written as CIF:
```
data_Cs3TlV2Br9
_symmetry_space_group_name_H-M 'P 1'
_symmetry_Int_Tables_number 1
_cell_length_a 7.8113
_cell_length_b 7.8113
_cell_length_c 10.0843
_cell_angle_alpha 90.00
_cell_angle_beta 90.00
_cell_angle_gamma 120.00
loop_
_symmetry_equiv_pos_as_xyz
'x,y,z'
loop_
_atom_site_label
_atom_site_fract_x
_atom_site_fract_y
_atom_site_fract_z
_atom_site_occupancy
Cs1 0.0000 0.0000 0.0000 1
Cs2 0.3333 0.6667 0.6822 1
Cs3 0.6667 0.3333 0.3178 1
Tl1 0.0000 0.0000 0.5000 1
V1 0.3333 0.6667 0.1515 1
V2 0.6667 0.3333 0.8485 1
Br1 0.0000 0.5000 0.0000 1
Br2 0.1793 0.3586 0.2962 1
Br3 0.1793 0.8207 0.2962 1
Br4 0.3586 0.1793 0.7038 1
Br5 0.5000 0.0000 0.0000 1
Br6 0.5000 0.5000 0.0000 1
Br7 0.6414 0.8207 0.2962 1
Br8 0.8207 0.1793 0.7038 1
Br9 0.8207 0.6414 0.7038 1
```

***

The evaluated energy relative to the elements, uncorrected for the records listed, in turn: -0.593; -0.406; -1.041; -0.846; -0.833; -0.584; -1.374; -1.240; -1.214 eV per atom.